[1]
Sc8PtRh2: optimized geometry, PBE.

a b c (Å): 5.0829 7.3137 7.3138
angles (deg): 115.52 99.61 99.61
With the nearest neighbours (Å) after each atom.
Atoms (fractional coordinates):
Sc1 0.5943 0.3316 0.0838  2 Rh 2.64-2.71
Sc2 0.5943 0.0838 0.3316  2 Rh 2.64-2.71
Sc3 0.1834 0.3714 0.3714  1 Pt 2.73, 2 Rh 2.89
Sc4 0.9999 0.2237 0.7823  1 Pt 2.73, 2 Rh 2.75
Sc5 0.9999 0.7823 0.2237  1 Pt 2.73, 2 Rh 2.75
Sc6 0.8163 0.6347 0.6347  1 Pt 2.73, 2 Rh 2.89
Sc7 0.4055 0.9223 0.6746  2 Rh 2.64-2.72
Sc8 0.4055 0.6746 0.9223  2 Rh 2.64-2.72
Pt1 0.0005 0.0030 0.0030  4 Sc 2.73
Rh1 0.5001 0.6973 0.3091  8 Sc 2.64-2.89
Rh2 0.5001 0.3091 0.6973  8 Sc 2.64-2.89

Properties
Space group: C2/m (12)
Total moment, μB/atom: 0.000

[2]
Pr3Mg2Zn4: optimized geometry, PBE.

a b c (Å): 5.0614 5.0621 9.4758
angles (deg): 90.00 90.00 120.00
With the nearest neighbours (Å) after each atom.
Atoms (fractional coordinates):
Pr1 0.3334 0.6667 0.5994  4 Zn 2.98
Pr2 0.0000 0.0000 0.0000  8 Zn 3.03-3.21
Pr3 0.6666 0.3333 0.4006  4 Zn 2.98
Mg1 0.3333 0.6667 0.2183  7 Zn 2.88-3.18
Mg2 0.6667 0.3333 0.7817  7 Zn 2.88-3.18
Zn1 0.6668 0.3335 0.0858  4 Mg 2.88-3.18, 4 Pr 2.98-3.03
Zn2 0.0001 0.0001 0.6610  4 Pr 2.98-3.21, 1 Zn 3.05, 3 Mg 3.14
Zn3 0.9999 0.9999 0.3390  4 Pr 2.98-3.21, 1 Zn 3.05, 3 Mg 3.14
Zn4 0.3332 0.6665 0.9142  4 Mg 2.88-3.18, 4 Pr 2.98-3.03

Properties
Space group: P-3m1 (164)
ΔE to the lowest computed polymorph, meV per atom: 0
Total moment, μB/atom: 0.000

[3]
LaAgOs2: optimized geometry, PBE.

a b c (Å): 2.8599 2.8599 9.7199
angles (deg): 90.00 90.00 115.24
With the nearest neighbours (Å) after each atom.
Atoms (fractional coordinates):
Os1 0.0000 0.0000 0.0062  2 Ag 2.82, 6 Os 2.86-3.06, 2 La 2.92
Os2 0.0000 0.0000 0.4938  2 Ag 2.82, 6 Os 2.86-3.06, 2 La 2.92
Ag1 0.5000 0.5000 0.2500  4 Os 2.82, 6 Ag 2.86-3.06
La1 0.5000 0.5000 0.7500  6 La 2.86-3.06, 4 Os 2.92

Properties
Space group: Cmmm (65)
ΔE to the lowest computed polymorph, meV per atom: 535
Total moment, μB/atom: 0.000

[4]
KFeCo: optimized geometry, PBE.

a b c (Å): 3.9806 3.9856 11.6043
angles (deg): 100.46 84.89 120.07
With the nearest neighbours (Å) after each atom.
Atoms (fractional coordinates):
K1 0.8595 0.7007 0.8371  1 Co 3.47, 3 Fe 3.52-3.53
K2 0.8535 0.3621 0.2010  3 Co 3.31-3.32
Co1 0.8549 0.5384 0.5326  6 Fe 2.40-2.44
Co2 0.1876 0.1398 0.4103  4 Fe 2.20-2.41
Fe1 0.1884 0.2428 0.6029  4 Co 2.20-2.44
Fe2 0.5212 0.8399 0.4726  6 Co 2.40-2.41

Properties
Space group: P1 (1)
ΔE to the lowest computed polymorph, meV per atom: 54
Total moment, μB/atom: 1.492

Record-wise energy relative to the elements values, in eV per atom: -0.539, -0.264, 0.821, 0.472